# 1
Compound: YTcRu
Source: Alexandria via LeMat-Bulk
Functional: GGA-PBE
Structure: relaxed

Cell and atoms, written as POSCAR:
```
YTcRu
1.0
4.097 0.000 0.000
-2.049 3.548 0.000
0.000 0.000 4.440
Y Tc Ru
1 1 1
direct
0.333 0.667 0.668 Y
0.667 0.333 0.192 Tc
0.000 0.000 0.140 Ru
```

Properties
As for the polymorph energy (0 for the lowest one): 270 meV/atom.

=====

# 2
Compound: La2CeY
Source: Alexandria via LeMat-Bulk
Functional: GGA-PBE
Structure: relaxed

Cell and atoms, written as POSCAR:
```
La2CeY
1.0
-0.558 5.001 0.750
-4.672 -0.827 2.035
2.123 -0.465 4.683
Ce La Y
1 2 1
direct
0.500 0.500 0.500 Ce
0.000 0.000 0.500 La
0.000 0.500 0.000 La
0.500 0.000 0.000 Y
```

Properties
As for the polymorph energy (0 for the lowest one): 25 meV/atom.

=====

# 3
Compound: FeCu2BiH
Source: Alexandria via LeMat-Bulk
Functional: GGA-PBE
Structure: relaxed

Cell and atoms, written as POSCAR:
```
FeCu2BiH
1.0
3.679 0.000 0.000
0.000 4.840 0.000
0.000 0.000 3.679
Cu Bi H Fe
2 1 1 1
direct
0.000 0.000 0.500 Cu
0.500 0.000 0.000 Cu
0.000 0.500 0.000 Bi
0.000 0.000 0.000 H
0.500 0.500 0.500 Fe
```

Properties
For the total energy, the calculation gives -4.21 eV/atom.

=====

# 4
Compound: Si2AgPt2
Source: Alexandria via LeMat-Bulk
Functional: GGA-PBE
Structure: relaxed

Cell and atoms, written as POSCAR:
```
Si2AgPt2
1.0
7.314 0.000 0.000
0.000 7.314 0.000
0.000 0.000 2.894
Si Pt Ag
4 4 2
direct
0.151 0.349 0.000 Si
0.349 0.849 0.000 Si
0.651 0.151 0.000 Si
0.849 0.651 0.000 Si
0.644 0.856 0.500 Pt
0.144 0.644 0.500 Pt
0.856 0.356 0.500 Pt
0.356 0.144 0.500 Pt
0.500 0.500 0.000 Ag
0.000 0.000 0.000 Ag
```

Properties
As for the polymorph energy (0 for the lowest one): 156 meV/atom. The value obtained for the uncorrected formation energy is -0.244 eV/atom.

=====

# 5
Compound: La2InBr
Source: Alexandria via LeMat-Bulk
Functional: GGA-PBE
Structure: relaxed

Cell and atoms, written as POSCAR:
```
La2InBr
1.0
8.236 0.316 -0.096
5.905 5.749 0.096
-6.831 -3.591 2.894
In Br La
1 1 2
direct
0.300 0.800 0.500 In
0.540 0.540 0.000 Br
0.707 0.207 0.500 La
0.953 0.953 0.000 La
```

Properties
As for the polymorph energy (0 for the lowest one): 149 meV/atom. The value obtained for the uncorrected formation energy is -0.734 eV/atom.

=====

# 6
Compound: Sr2SnHg
Source: Alexandria via LeMat-Bulk
Functional: GGA-PBE
Structure: relaxed

Cell and atoms, written as POSCAR:
```
Sr2SnHg
1.0
-1.020 2.896 4.874
-4.073 -3.819 1.416
4.463 -6.142 7.988
Sr Hg Sn
4 2 2
direct
0.375 0.375 0.750 Sr
0.875 0.875 0.750 Sr
0.125 0.625 0.250 Sr
0.625 0.125 0.250 Sr
0.750 0.250 0.500 Hg
0.000 0.000 0.000 Hg
0.500 0.500 0.000 Sn
0.250 0.750 0.500 Sn
```

Properties
As for the polymorph energy (0 for the lowest one): 559 meV/atom.